Entry from Alexandria: an optimized crystal structure of CrInSe2Br (PBE).

The structure belongs to space group P4/mmm (No. 123); the cell edges are 4.877, 4.877 and 5.393 Å and the angles 90.00°, 90.00° and 90.00°. The asymmetric unit holds Cr at (0.000, 0.000, 0.000), In at (0.500, 0.500, 0.500), Se at (0.000, 0.500, 0.000) and Br at (0.000, 0.000, 0.500).

As for the energy above the most stable polymorph in this dataset: 0.000 eV per atom. The uncorrected formation energy is -0.21 eV/atom. Its final energy is -22.04 eV for the cell shown.

Entry from Alexandria: an optimized crystal structure of La2HoCo (PBE).

The structure belongs to space group R-3m (No. 166, hexagonal axes); the cell edges are 3.7165, 3.7165 and 31.2372 Å and the angles 90.00°, 90.00° and 120.00°. The asymmetric unit holds La at (0.0000, 0.0000, 0.1125), Ho at (0.0000, 0.0000, 0.0000) and Co at (0.0000, 0.0000, 0.5000).

As for the formation energy: 0.7 eV/f.u. As for the energy above the most stable polymorph in this dataset: 0.282 eV per atom. Its final energy is -62.50 eV for the cell shown.

Entry from Alexandria: an optimized crystal structure of LaPmSi2Ni2 (PBE).

The structure belongs to space group P-3m1 (No. 164); the cell edges are 4.0297, 4.0297 and 8.5259 Å and the angles 90.00°, 90.00° and 120.00°. The asymmetric unit holds La at (0.0000, 0.0000, 0.0000), Pm at (0.0000, 0.0000, 0.5000), Si at (0.3333, 0.6667, 0.2565) and Ni at (0.3333, 0.6667, 0.7429).

The uncorrected formation energy is -0.73 eV/atom. Its final energy is -36.46 eV for the cell shown.

Entry from Alexandria: an optimized crystal structure of Sc2AgTe2 (PBE).

The structure belongs to space group P4/mbm (No. 127); the cell edges are 7.966, 7.966 and 3.721 Å and the angles 90.00°, 90.00° and 90.00°. The asymmetric unit holds Sc at (0.146, 0.354, 0.000), Ag at (0.000, 0.000, 0.500) and Te at (0.152, 0.652, 0.500).

As for the energy above the most stable polymorph in this dataset: 0.052 eV per atom. The uncorrected formation energy is -0.70 eV/atom. Its final energy is -50.61 eV for the cell shown.

Entry from Alexandria: an optimized crystal structure of MnTcRh2 (PBE).

The structure belongs to space group P4mm (No. 99); the cell edges are 2.676, 2.676 and 7.611 Å and the angles 90.00°, 90.00° and 90.00°. The asymmetric unit holds Mn at (0.000, 0.000, 0.000), Tc at (0.500, 0.500, 0.749), Rh at (0.000, 0.000, 0.500) and Rh at (0.500, 0.500, 0.229).

As for the formation energy: -0.1 eV/f.u. As for the energy above the most stable polymorph in this dataset: 0.080 eV per atom. Its final energy is -34.32 eV for the cell shown.

Entry from Alexandria: an optimized crystal structure of Na2RuPtO6 (PBE).

The structure belongs to space group P4mm (No. 99); the cell edges are 5.469, 5.469 and 4.153 Å and the angles 90.00°, 90.00° and 90.00°. The asymmetric unit holds Na at (0.000, 0.500, 0.000), Ru at (0.000, 0.000, 0.517), Pt at (0.500, 0.500, 0.557), O at (0.000, 0.000, 0.082), O at (0.243, 0.243, 0.598) and O at (0.500, 0.500, 0.070).

The uncorrected formation energy is -0.81 eV/atom. Its final energy is -55.84 eV for the cell shown.

Entry from Alexandria: an optimized crystal structure of Ac8PSe3S4 (PBE).

The structure belongs to space group R-3m (No. 166, hexagonal axes); the cell edges are 8.7690, 8.7690 and 21.4883 Å and the angles 90.00°, 90.00° and 120.00°. The asymmetric unit holds Ac at (0.0000, 0.0000, 0.2443), Ac at (0.0107, 0.5053, 0.7528), P at (0.0000, 0.0000, 0.0000), Se at (0.0000, 0.5000, 0.0000), S at (0.0000, 0.0000, 0.5000) and S at (0.0000, 0.5000, 0.5000).

The uncorrected formation energy is -1.91 eV/atom. Its final energy is -287.32 eV for the cell shown.

Entry from Alexandria: an optimized crystal structure of Tb11Pd9Rh4 (PBE).

The structure belongs to space group Cmmm (No. 65); the cell edges are 13.794, 20.360 and 3.614 Å and the angles 90.00°, 90.00° and 90.00°. The asymmetric unit holds Tb at (0.000, 0.000, 0.000), Tb at (0.000, 0.178, 0.000), Tb at (0.000, 0.374, 0.000), Tb at (0.234, 0.500, 0.000), Tb at (0.244, 0.170, 0.000), Pd at (0.000, 0.500, 0.500), Pd at (0.113, 0.264, 0.500), Pd at (0.118, 0.086, 0.500) and Rh at (0.154, 0.409, 0.500).

As for the formation energy: -19.8 eV/f.u. Its final energy is -293.71 eV for the cell shown.

Entry from Alexandria: an optimized crystal structure of NdEuAl (PBE).

The structure belongs to space group P3m1 (No. 156); the cell edges are 5.2671, 5.2671 and 3.5881 Å and the angles 90.00°, 90.00° and 120.00°. The asymmetric unit holds Nd at (0.0000, 0.0000, 0.0000), Eu at (0.6667, 0.3333, 0.3840) and Al at (0.3333, 0.6667, 0.7035).

As for the formation energy: -0.3 eV/f.u. As for the energy above the most stable polymorph in this dataset: 0.078 eV per atom. Its final energy is -19.04 eV for the cell shown.

Entry from Alexandria: an optimized crystal structure of SrOs3I (PBE).

The structure belongs to space group Pm-3m (No. 221); the cell edges are 5.152, 5.152 and 5.152 Å and the angles 90.00°, 90.00° and 90.00°. The asymmetric unit holds Sr at (0.000, 0.000, 0.000), Os at (0.000, 0.000, 0.500) and I at (0.500, 0.500, 0.500).

As for the energy above the most stable polymorph in this dataset: 1.564 eV per atom. The uncorrected formation energy is 3.60 eV/atom. Its final energy is -18.92 eV for the cell shown.

Entry from Alexandria: an optimized crystal structure of Th8P3RuSe4 (PBE).

The structure belongs to space group R-3m (No. 166, hexagonal axes); the cell edges are 8.3348, 8.3348 and 20.7530 Å and the angles 90.00°, 90.00° and 120.00°. The asymmetric unit holds Th at (0.0000, 0.0000, 0.2433), Th at (0.0050, 0.5025, 0.2426), P at (0.0000, 0.5000, 0.5000), Ru at (0.0000, 0.0000, 0.5000), Se at (0.0000, 0.0000, 0.0000) and Se at (0.0000, 0.5000, 0.0000).

The uncorrected formation energy is -1.45 eV/atom. Its final energy is -366.12 eV for the cell shown.

Entry from Alexandria: an optimized crystal structure of PrGaO3 (PBE).

The structure belongs to space group Pnma (No. 62); the cell edges are 5.604, 7.838 and 5.509 Å and the angles 90.00°, 90.00° and 90.00°. The asymmetric unit holds Pr at (0.046, 0.250, 0.012), Ga at (0.000, 0.000, 0.500), O at (0.019, 0.750, 0.418) and O at (0.211, 0.544, 0.788).

The uncorrected formation energy is -2.62 eV/atom. Its final energy is -143.09 eV for the cell shown.

Entry from Alexandria: an optimized crystal structure of RbGaAg (PBE).

The structure belongs to space group P1 (No. 1); the cell edges are 4.561, 4.561 and 12.040 Å and the angles 80.12°, 80.69° and 60.04°. The asymmetric unit holds Rb at (0.000, 0.000, 0.000), Rb at (0.499, 0.529, 0.381), Ga at (0.402, 0.415, 0.744), Ga at (0.780, 0.801, 0.577), Ag at (0.092, 0.110, 0.654) and Ag at (0.720, 0.730, 0.801).

As for the formation energy: 0.0 eV/f.u. As for the energy above the most stable polymorph in this dataset: 0.020 eV per atom. Its final energy is -13.59 eV for the cell shown.

Entry from Alexandria: an optimized crystal structure of Rb2DyMnTe4 (PBE).

The structure belongs to space group Imma (No. 74); the cell edges are 9.150, 9.251 and 13.514 Å and the angles 90.00°, 90.00° and 90.00°. The asymmetric unit holds Rb at (0.000, 0.000, 0.000), Rb at (0.250, 0.250, 0.250), Dy at (0.000, 0.000, 0.500), Mn at (0.250, 0.250, 0.750), Te at (0.000, 0.062, 0.736) and Te at (0.220, 0.250, 0.513).

The uncorrected formation energy is -0.83 eV/atom. Its final energy is -139.55 eV for the cell shown.

Entry from Alexandria: an optimized crystal structure of YAgBr (PBE).

The structure belongs to space group F-43m (No. 216); the cell edges are 6.891, 6.891 and 6.891 Å and the angles 90.00°, 90.00° and 90.00°. The asymmetric unit holds Y at (0.000, 0.000, 0.000), Ag at (0.000, 0.000, 0.500) and Br at (0.250, 0.250, 0.250).

As for the energy above the most stable polymorph in this dataset: 0.661 eV per atom. The uncorrected formation energy is -0.19 eV/atom. Its final energy is -46.22 eV for the cell shown.

Entry from Alexandria: an optimized crystal structure of YAlIn2 (PBE).

The structure belongs to space group I4/mmm (No. 139); the cell edges are 4.412, 4.412 and 9.673 Å and the angles 90.00°, 90.00° and 90.00°. The asymmetric unit holds Y at (0.000, 0.000, 0.000), Al at (0.000, 0.000, 0.500) and In at (0.000, 0.500, 0.250).

As for the formation energy: -1.3 eV/f.u. Its final energy is -33.90 eV for the cell shown.

Entry from Alexandria: an optimized crystal structure of Ga3BPt (PBE).

The structure belongs to space group Pm-3m (No. 221); the cell edges are 4.286, 4.286 and 4.286 Å and the angles 90.00°, 90.00° and 90.00°. The asymmetric unit holds Ga at (0.000, 0.000, 0.500), B at (0.000, 0.000, 0.000) and Pt at (0.500, 0.500, 0.500).

As for the formation energy: 1.6 eV/f.u. As for the energy above the most stable polymorph in this dataset: 0.000 eV per atom. Its final energy is -20.20 eV for the cell shown.

Entry from Alexandria: an optimized crystal structure of Cu6Pd (PBE).

The structure belongs to space group P4/mmm (No. 123); the cell edges are 3.704, 3.704 and 6.872 Å and the angles 90.00°, 90.00° and 90.00°. The asymmetric unit holds Cu at (0.000, 0.000, 0.000), Cu at (0.000, 0.500, 0.229), Cu at (0.500, 0.500, 0.500) and Pd at (0.000, 0.000, 0.500).

As for the formation energy: 0.6 eV/f.u. As for the energy above the most stable polymorph in this dataset: 0.103 eV per atom. Its final energy is -29.20 eV for the cell shown.

Entry from Alexandria: an optimized crystal structure of NaMnC3 (PBE).

The structure belongs to space group Pm-3m (No. 221); the cell edges are 4.107, 4.107 and 4.107 Å and the angles 90.00°, 90.00° and 90.00°. The asymmetric unit holds Na at (0.000, 0.000, 0.000), Mn at (0.500, 0.500, 0.500) and C at (0.000, 0.000, 0.500).

As for the formation energy: 17.9 eV/f.u. As for the energy above the most stable polymorph in this dataset: 2.101 eV per atom. Its final energy is -20.22 eV for the cell shown.

Entry from Alexandria: an optimized crystal structure of Dy2ThBe (PBE).

The structure belongs to space group R-3m (No. 166, hexagonal axes); the cell edges are 3.4930, 3.4930 and 33.5889 Å and the angles 90.00°, 90.00° and 120.00°. The asymmetric unit holds Dy at (0.0000, 0.0000, 0.0847), Th at (0.0000, 0.0000, 0.5000) and Be at (0.0000, 0.0000, 0.0000).

As for the formation energy: 2.7 eV/f.u. As for the energy above the most stable polymorph in this dataset: 0.597 eV per atom. Its final energy is -52.88 eV for the cell shown.

Entry from Alexandria: an optimized crystal structure of K2SrIn (PBE).

The structure belongs to space group F-43m (No. 216); the cell edges are 8.847, 8.847 and 8.847 Å and the angles 90.00°, 90.00° and 90.00°. The asymmetric unit holds K at (0.000, 0.000, 0.000), K at (0.250, 0.250, 0.250), Sr at (0.250, 0.250, 0.750) and In at (0.000, 0.000, 0.500).

As for the formation energy: 0.0 eV/f.u. Its final energy is -26.29 eV for the cell shown.

Entry from Alexandria: an optimized crystal structure of Te2WAu2 (PBE).

The structure belongs to space group P4/mbm (No. 127); the cell edges are 7.379, 7.379 and 4.148 Å and the angles 90.00°, 90.00° and 90.00°. The asymmetric unit holds Te at (0.178, 0.322, 0.000), W at (0.000, 0.000, 0.000) and Au at (0.138, 0.638, 0.500).

As for the energy above the most stable polymorph in this dataset: 0.228 eV per atom. The uncorrected formation energy is 0.74 eV/atom. Its final energy is -44.16 eV for the cell shown.

Entry from Alexandria: an optimized crystal structure of ZnHgPd2 (PBE).

The structure belongs to space group R3m (No. 160, hexagonal axes); the cell edges are 3.0312, 3.0312 and 25.3751 Å and the angles 90.00°, 90.00° and 120.00°. The asymmetric unit holds Zn at (0.0000, 0.0000, 0.0000), Hg at (0.0000, 0.0000, 0.1669), Pd at (0.0000, 0.0000, 0.4092) and Pd at (0.0000, 0.0000, 0.5909).

As for the formation energy: -1.0 eV/f.u. Its final energy is -38.81 eV for the cell shown.

Entry from Alexandria: an optimized crystal structure of NdSmEr3Tm (PBE).

The structure belongs to space group P2_1/m (No. 11); the cell edges are 7.951, 5.039 and 10.015 Å and the angles 90.00°, 108.50° and 90.00°. The asymmetric unit holds Nd at (0.165, 0.250, 0.292), Sm at (0.498, 0.750, 0.874), Er at (0.166, 0.250, 0.790), Er at (0.166, 0.750, 0.042), Er at (0.168, 0.750, 0.542) and Tm at (0.500, 0.250, 0.625).

As for the formation energy: 0.1 eV/f.u. Its final energy is -55.02 eV for the cell shown.